(P)
Entry from Alexandria: crystalline Mg2ZnGa4 at its relaxed geometry (PBE-GGA).

For the volume, the calculation gives 551 Å³/cell. For the total magnetization, the calculation gives 0.00 μB per cell. The symmetry is No. 227. The calculation puts the density of states at the Fermi level at 12.13 states/eV per cell.

Cell: 9.2010 9.2010 9.2010 Å, 60.00 60.00 60.00°
With the nearest neighbours (Å) after each atom.
Positions (direct):
Mg 0.1512 0.7829 0.7829  9 Ga 2.89-3.03
Mg 0.2171 0.2171 0.2171  9 Ga 2.89-3.03
Mg 0.2171 0.2171 0.8488  9 Ga 2.89-3.03
Mg 0.2171 0.8488 0.2171  9 Ga 2.89-3.03
Mg 0.7829 0.1512 0.7829  9 Ga 2.89-3.03
Mg 0.7829 0.7829 0.1512  9 Ga 2.89-3.03
Mg 0.7829 0.7829 0.7829  9 Ga 2.89-3.03
Mg 0.8488 0.2171 0.2171  9 Ga 2.89-3.03
Zn 0.0000 0.5000 0.5000  6 Ga 2.64
Zn 0.5000 0.0000 0.5000  6 Ga 2.64
Zn 0.5000 0.5000 0.0000  6 Ga 2.64
Zn 0.5000 0.5000 0.5000  6 Ga 2.64
Ga 0.0000 0.0000 0.0000  6 Mg 2.89, 6 Ga 3.02
Ga 0.0000 0.0000 0.5000  6 Mg 2.89, 6 Ga 3.02
Ga 0.0000 0.5000 0.0000  6 Mg 2.89, 6 Ga 3.02
Ga 0.1508 0.1508 0.5992  2 Zn 2.64, 2 Mg 2.93
Ga 0.1508 0.5992 0.1508  2 Zn 2.64, 2 Mg 2.93
Ga 0.1508 0.5992 0.5992  2 Zn 2.64, 2 Mg 2.93
Ga 0.4008 0.4008 0.8492  2 Zn 2.64, 2 Mg 2.93
Ga 0.4008 0.8492 0.4008  2 Zn 2.64, 2 Mg 2.93
Ga 0.4008 0.8492 0.8492  2 Zn 2.64, 2 Mg 2.93
Ga 0.5000 0.0000 0.0000  6 Mg 2.89, 6 Ga 3.02
Ga 0.5992 0.1508 0.1508  2 Zn 2.64, 2 Mg 2.93
Ga 0.5992 0.1508 0.5992  2 Zn 2.64, 2 Mg 2.93
Ga 0.5992 0.5992 0.1508  2 Zn 2.64, 2 Mg 2.93
Ga 0.8492 0.4008 0.4008  2 Zn 2.64, 2 Mg 2.93
Ga 0.8492 0.4008 0.8492  2 Zn 2.64, 2 Mg 2.93
Ga 0.8492 0.8492 0.4008  2 Zn 2.64, 2 Mg 2.93

(Q)
Entry from Alexandria: crystalline Mg2ZnGa4 at its relaxed geometry (PBE-GGA).

For the volume, the calculation gives 138 Å³/cell. For the total magnetization, the calculation gives 0.00 μB per cell. The symmetry is No. 69. The calculation puts the density of states at the Fermi level at 2.27 states/eV per cell.

Cell: 6.3706 5.6500 5.6466 Å, 68.66 55.70 55.65°
With the nearest neighbours (Å) after each atom.
Positions (direct):
Mg 0.2500 0.2500 0.2500  8 Ga 2.85
Mg 0.7500 0.7500 0.7500  8 Ga 2.85
Zn 0.0000 0.0000 0.0000  4 Ga 2.63-2.64
Ga 0.2916 0.7084 0.2916  1 Zn 2.63, 2 Ga 2.65, 4 Mg 2.85
Ga 0.2928 0.2928 0.7072  1 Zn 2.64, 2 Ga 2.65, 4 Mg 2.85
Ga 0.7072 0.7072 0.2928  1 Zn 2.64, 2 Ga 2.65, 4 Mg 2.85
Ga 0.7084 0.2916 0.7084  1 Zn 2.63, 2 Ga 2.65, 4 Mg 2.85

Order of stability, best first: (P), (Q)

(P)
Entry from Alexandria: crystalline MgZn2Ga4 at its relaxed geometry (PBE-GGA).

For the volume, the calculation gives 130 Å³/cell. For the total magnetization, the calculation gives 0.00 μB per cell. The symmetry is No. 65. The calculation puts the density of states at the Fermi level at 2.03 states/eV per cell.

Cell: 8.1836 8.1836 3.8284 Å, 90.00 90.00 149.45°
With the nearest neighbours (Å) after each atom.
Positions (direct):
Mg 0.0000 0.0000 0.0000  8 Zn 3.12, 4 Ga 3.29
Zn 0.4239 0.5761 0.5000  1 Zn 2.40, 4 Ga 2.61-2.66
Zn 0.5761 0.4239 0.5000  1 Zn 2.40, 4 Ga 2.61-2.66
Ga 0.1691 0.8309 0.5000  2 Zn 2.61, 6 Ga 2.90-2.91
Ga 0.3073 0.6927 0.0000  2 Zn 2.66, 8 Ga 2.81-2.91
Ga 0.6927 0.3073 0.0000  2 Zn 2.66, 8 Ga 2.81-2.91
Ga 0.8309 0.1691 0.5000  2 Zn 2.61, 6 Ga 2.90-2.91

(Q)
Entry from Alexandria: crystalline MgZn2Ga4 at its relaxed geometry (PBE-GGA).

For the volume, the calculation gives 129 Å³/cell. For the total magnetization, the calculation gives 0.00 μB per cell. The symmetry is No. 12. The calculation puts the density of states at the Fermi level at 2.00 states/eV per cell.

Cell: 5.6456 5.6456 4.8440 Å, 113.44 113.44 75.04°
With the nearest neighbours (Å) after each atom.
Positions (direct):
Mg 0.0000 0.0000 0.0000  12 Ga 3.04-3.23
Zn 0.4635 0.4635 0.7182  2 Zn 2.47-2.51, 4 Ga 2.76
Zn 0.5365 0.5365 0.2818  2 Zn 2.47-2.51, 4 Ga 2.76
Ga 0.0056 0.6154 0.2979  4 Ga 2.63-2.95, 3 Zn 2.76-2.94
Ga 0.3846 0.9944 0.7021  4 Ga 2.63-2.95, 3 Zn 2.76-2.94
Ga 0.6154 0.0056 0.2979  4 Ga 2.63-2.95, 3 Zn 2.76-2.94
Ga 0.9944 0.3846 0.7021  4 Ga 2.63-2.95, 3 Zn 2.76-2.94

(R)
Entry from Alexandria: crystalline MgZn2Ga4 at its relaxed geometry (PBE-GGA).

For the volume, the calculation gives 171 Å³/cell. For the total magnetization, the calculation gives 0.00 μB per cell. The symmetry is No. 139. The calculation puts the density of states at the Fermi level at 3.56 states/eV per cell.

Cell: 7.3783 7.3783 7.3783 Å, 138.99 138.99 59.40°
With the nearest neighbours (Å) after each atom.
Positions (direct):
Mg 0.0000 0.0000 0.0000  6 Ga 2.58-2.64
Zn 0.4003 0.4003 0.0000  1 Ga 2.49, 1 Zn 2.56
Zn 0.5997 0.5997 0.0000  1 Ga 2.49, 1 Zn 2.56
Ga 0.0000 0.5000 0.5000  2 Mg 2.58, 4 Zn 2.88
Ga 0.2063 0.2063 0.0000  1 Zn 2.49, 1 Mg 2.64
Ga 0.5000 0.0000 0.5000  2 Mg 2.58, 4 Zn 2.88
Ga 0.7937 0.7937 0.0000  1 Zn 2.49, 1 Mg 2.64

Order of stability, best first: (Q), (P), (R)

(P)
Entry from Alexandria: crystalline Mg8ZnGa2 at its relaxed geometry (PBE-GGA).

For the volume, the calculation gives 228 Å³/cell. For the total magnetization, the calculation gives 0.00 μB per cell. The symmetry is No. 12. The calculation puts the density of states at the Fermi level at 3.02 states/eV per cell.

Cell: 8.1884 8.1884 6.9424 Å, 113.45 113.45 32.57°
With the nearest neighbours (Å) after each atom.
Positions (direct):
Mg 0.0256 0.0256 0.2837  1 Ga 2.84, 2 Zn 2.86, 4 Mg 2.98-3.06
Mg 0.1864 0.1864 0.7723  3 Ga 2.83-3.02, 1 Mg 3.16
Mg 0.3327 0.3327 0.5688  3 Ga 2.79-2.97, 1 Zn 2.86, 3 Mg 3.06-3.07
Mg 0.4056 0.4056 0.0535  2 Ga 2.80, 1 Zn 2.83, 3 Mg 2.98-3.07
Mg 0.5944 0.5944 0.9465  2 Ga 2.80, 1 Zn 2.83, 3 Mg 2.98-3.07
Mg 0.6673 0.6673 0.4312  3 Ga 2.79-2.97, 1 Zn 2.86, 3 Mg 3.06-3.07
Mg 0.8136 0.8136 0.2277  3 Ga 2.83-3.02, 1 Mg 3.16
Mg 0.9744 0.9744 0.7163  1 Ga 2.84, 2 Zn 2.86, 4 Mg 2.98-3.06
Zn 0.5000 0.5000 0.5000  8 Mg 2.83-2.86
Ga 0.1805 0.1805 0.1742  9 Mg 2.79-3.02
Ga 0.8195 0.8195 0.8258  9 Mg 2.79-3.02

(Q)
Entry from Alexandria: crystalline Mg8ZnGa2 at its relaxed geometry (PBE-GGA).

For the volume, the calculation gives 227 Å³/cell. For the total magnetization, the calculation gives 0.00 μB per cell. The symmetry is No. 71. The calculation puts the density of states at the Fermi level at 3.05 states/eV per cell.

Cell: 8.0854 8.0854 8.0854 Å, 146.11 128.85 62.78°
With the nearest neighbours (Å) after each atom.
Positions (direct):
Mg 0.1230 0.3507 0.7723  1 Zn 2.80, 3 Ga 2.88-2.99, 5 Mg 3.01-3.13
Mg 0.1659 0.1659 0.0000  8 Mg 3.00-3.04, 2 Ga 3.15, 2 Zn 3.29
Mg 0.2787 0.0000 0.2787  2 Ga 2.96, 7 Mg 3.00-3.13, 2 Zn 3.06
Mg 0.4217 0.6493 0.7723  1 Zn 2.80, 3 Ga 2.88-2.99, 5 Mg 3.01-3.13
Mg 0.5783 0.3507 0.2277  1 Zn 2.80, 3 Ga 2.88-2.99, 5 Mg 3.01-3.13
Mg 0.7213 0.0000 0.7213  2 Ga 2.96, 7 Mg 3.00-3.13, 2 Zn 3.06
Mg 0.8341 0.8341 0.0000  8 Mg 3.00-3.04, 2 Ga 3.15, 2 Zn 3.29
Mg 0.8770 0.6493 0.2277  1 Zn 2.80, 3 Ga 2.88-2.99, 5 Mg 3.01-3.13
Zn 0.0000 0.5000 0.5000  8 Mg 2.80-3.06
Ga 0.3169 0.8169 0.5000  10 Mg 2.88-3.15
Ga 0.6831 0.1831 0.5000  10 Mg 2.88-3.15

Order of stability, best first: (P), (Q)

(P)
Entry from Alexandria: crystalline MgZn3Ga3 at its relaxed geometry (PBE-GGA).

For the volume, the calculation gives 328 Å³/cell. For the total magnetization, the calculation gives 0.00 μB per cell. The symmetry is No. 11. The calculation puts the density of states at the Fermi level at 3.29 states/eV per cell.

Cell: 10.6479 3.3449 10.6482 Å, 90.00 119.99 90.00°
With the nearest neighbours (Å) after each atom.
Positions (direct):
Mg 0.1665 0.2500 0.3339  6 Zn 2.96, 6 Ga 3.25-3.26
Mg 0.8335 0.7500 0.6661  6 Zn 2.96, 6 Ga 3.25-3.26
Zn 0.0867 0.2500 0.8590  3 Ga 2.45-2.53
Zn 0.2282 0.7500 0.5875  3 Ga 2.45-2.53
Zn 0.3586 0.7500 0.2724  3 Ga 2.45-2.53
Zn 0.6414 0.2500 0.7276  3 Ga 2.45-2.53
Zn 0.7718 0.2500 0.4125  3 Ga 2.45-2.53
Zn 0.9133 0.7500 0.1410  3 Ga 2.45-2.53
Ga 0.0687 0.2500 0.6202  3 Zn 2.45-2.53
Ga 0.1202 0.7500 0.0515  3 Zn 2.45-2.53
Ga 0.4486 0.7500 0.5688  3 Zn 2.45-2.53
Ga 0.5514 0.2500 0.4312  3 Zn 2.45-2.53
Ga 0.8798 0.2500 0.9485  3 Zn 2.45-2.53
Ga 0.9313 0.7500 0.3798  3 Zn 2.45-2.53

(Q)
Entry from Alexandria: crystalline MgZn3Ga3 at its relaxed geometry (PBE-GGA).

For the volume, the calculation gives 350 Å³/cell. For the total magnetization, the calculation gives 0.00 μB per cell. The symmetry is No. 223. The calculation puts the density of states at the Fermi level at 5.80 states/eV per cell.

Cell: 7.0499 7.0499 7.0499 Å, 90.00 90.00 90.00°
With the nearest neighbours (Å) after each atom.
Positions (direct):
Mg 0.0000 0.0000 0.0000  12 Zn 3.94, 12 Ga 3.94
Mg 0.5000 0.5000 0.5000  12 Zn 3.94, 12 Ga 3.94
Zn 0.0000 0.2500 0.5000  4 Ga 2.49
Zn 0.0000 0.7500 0.5000  4 Ga 2.49
Zn 0.2500 0.5000 0.0000  4 Ga 2.49
Zn 0.5000 0.0000 0.2500  4 Ga 2.49
Zn 0.5000 0.0000 0.7500  4 Ga 2.49
Zn 0.7500 0.5000 0.0000  4 Ga 2.49
Ga 0.0000 0.5000 0.2500  4 Zn 2.49
Ga 0.0000 0.5000 0.7500  4 Zn 2.49
Ga 0.2500 0.0000 0.5000  4 Zn 2.49
Ga 0.5000 0.2500 0.0000  4 Zn 2.49
Ga 0.5000 0.7500 0.0000  4 Zn 2.49
Ga 0.7500 0.0000 0.5000  4 Zn 2.49

Order of stability, best first: (P), (Q)